Version w
## KYTa2 (SCAN)

Data for a crystal of KYTa2 relaxed with PBEsol.

Structure (POSCAR):
```
KYTa2
1.0
4.042 0.000 0.000
0.000 4.042 0.000
0.000 0.000 5.414
Ta Y K
2 1 1
direct
0.000 0.500 0.000
0.500 0.000 0.000
0.500 0.500 0.500
0.000 0.000 0.500
```

Its total magnetization is 0.000 μB/f.u. As for the volume: 22.12 Å³/atom.


Version x
## KYTa2 (SCAN)

Data for a crystal of KYTa2 relaxed with PBEsol.

Structure (POSCAR):
```
KYTa2
1.0
3.040 0.000 0.000
0.000 5.951 0.000
-1.520 -2.976 5.684
Ta Y K
2 1 1
direct
0.722 0.222 0.444
0.038 0.038 0.076
0.474 0.474 0.948
0.266 0.766 0.532
```

Its total magnetization is 0.001 μB/f.u. As for the volume: 25.70 Å³/atom.


Energies relative to the most stable structure are version w 201; version x 0, reported in meV per atom.


Version w
## KYTa2 (SCAN)

Data for a crystal of KYTa2 relaxed with PBEsol.

Structure (POSCAR):
```
KYTa2
1.0
-2.455 1.913 0.727
-1.083 0.138 3.004
6.113 9.192 3.481
Y Ta K
1 2 1
direct
0.483 0.483 0.551
0.743 0.743 0.771
0.016 0.016 0.951
0.258 0.258 0.227
```

Its total magnetization is 0.685 μB/f.u. As for the volume: 25.27 Å³/atom.


Version x
## KYTa2 (SCAN)

Data for a crystal of KYTa2 relaxed with PBEsol.

Structure (POSCAR):
```
KYTa2
1.0
2.836 0.000 0.000
0.000 5.841 0.000
0.000 0.000 5.841
Y Ta K
1 2 1
direct
0.500 0.500 0.500
0.000 0.500 0.000
0.000 0.000 0.500
0.500 0.000 0.000
```

Its total magnetization is 1.912 μB/f.u. As for the volume: 24.19 Å³/atom.


Version y
## KYTa2 (SCAN)

Data for a crystal of KYTa2 relaxed with PBEsol.

Structure (POSCAR):
```
KYTa2
1.0
-1.963 -1.921 2.953
2.326 -3.246 -0.565
3.385 4.509 2.429
K Ta Y
1 2 1
direct
0.000 0.000 0.000
0.750 0.250 0.500
0.250 0.750 0.500
0.500 0.500 0.000
```

Its total magnetization is 0.000 μB/f.u. As for the volume: 22.11 Å³/atom.


Energies relative to the most stable structure are version w 0; version x 798; version y 505, reported in meV per atom.


Version w
## KY2Ta (SCAN)

Data for a crystal of KY2Ta relaxed with PBEsol.

Structure (POSCAR):
```
KY2Ta
1.0
-1.000 0.839 -3.041
3.342 -2.457 -1.777
-5.225 -6.962 -0.201
Y Ta K
2 1 1
direct
0.500 0.500 0.178
0.000 0.000 0.958
0.500 0.500 0.831
0.000 0.000 0.533
```

Its total magnetization is 0.000 μB/f.u. As for the volume: 32.51 Å³/atom.


Version x
## KY2Ta (SCAN)

Data for a crystal of KY2Ta relaxed with PBEsol.

Structure (POSCAR):
```
KY2Ta
1.0
-4.398 -1.465 -0.445
0.890 -1.344 -4.369
3.105 -3.161 4.087
K Y Ta
1 2 1
direct
0.500 0.500 0.000
0.750 0.250 0.500
0.000 0.000 0.000
0.250 0.750 0.500
```

Its total magnetization is 1.162 μB/f.u. As for the volume: 27.37 Å³/atom.


Energies relative to the most stable structure are version w 0; version x 294, reported in meV per atom.


Version w
## K2ZrTa (SCAN)

Data for a crystal of K2ZrTa relaxed with PBEsol.

Structure (POSCAR):
```
K2ZrTa
1.0
-2.080 0.562 -1.918
3.677 -1.051 -4.296
-1.768 -6.380 0.048
K Ta Zr
2 1 1
direct
0.000 0.746 0.000
0.000 0.254 0.000
0.500 0.500 0.500
0.500 0.000 0.500
```

Its total magnetization is 0.108 μB/f.u. As for the volume: 27.46 Å³/atom.


Version x
## K2ZrTa (SCAN)

Data for a crystal of K2ZrTa relaxed with PBEsol.

Structure (POSCAR):
```
K2ZrTa
1.0
-1.639 -1.172 -2.289
4.351 -0.943 -2.632
0.394 -6.057 2.820
K Ta Zr
2 1 1
direct
0.000 0.000 0.000
0.500 0.500 0.000
0.500 0.000 0.500
0.000 0.500 0.500
```

Its total magnetization is 0.000 μB/f.u. As for the volume: 26.39 Å³/atom.


Energies relative to the most stable structure are version w 159; version x 0, reported in meV per atom.


Version w
## K2ZrTa (SCAN)

Data for a crystal of K2ZrTa relaxed with PBEsol.

Structure (POSCAR):
```
K2ZrTa
1.0
5.454 0.000 0.000
2.727 4.724 0.000
2.727 1.575 4.453
Ta K Zr
1 2 1
direct
0.000 0.000 0.000
0.750 0.750 0.750
0.250 0.250 0.250
0.500 0.500 0.500
```

Its total magnetization is 1.494 μB/f.u. As for the volume: 28.69 Å³/atom.


Version x
## K2ZrTa (SCAN)

Data for a crystal of K2ZrTa relaxed with PBEsol.

Structure (POSCAR):
```
K2ZrTa
1.0
2.744 0.000 0.000
0.000 6.633 0.000
0.000 0.000 6.633
K Zr Ta
2 1 1
direct
0.000 0.000 0.500
0.000 0.500 0.000
0.500 0.000 0.000
0.500 0.500 0.500
```

Its total magnetization is 0.694 μB/f.u. As for the volume: 30.18 Å³/atom.


Version y
## K2ZrTa (SCAN)

Data for a crystal of K2ZrTa relaxed with PBEsol.

Structure (POSCAR):
```
K2ZrTa
1.0
3.135 0.000 0.000
0.000 3.439 0.000
0.000 0.000 12.206
Ta K Zr
1 2 1
direct
0.000 0.000 0.550
0.500 0.500 0.300
0.000 0.000 0.963
0.500 0.500 0.687
```

Its total magnetization is 0.006 μB/f.u. As for the volume: 32.89 Å³/atom.


Energies relative to the most stable structure are version w 1394; version x 1045; version y 0, reported in meV per atom.


Version w
## KZr2Ta (SCAN)

Data for a crystal of KZr2Ta relaxed with PBEsol.

Structure (POSCAR):
```
KZr2Ta
1.0
2.731 -0.001 -0.002
-0.953 6.101 0.022
-0.953 -2.767 5.437
K Zr Ta
1 2 1
direct
0.500 0.000 0.000
0.000 0.000 0.500
0.000 0.500 0.000
0.500 0.500 0.500
```

Its total magnetization is 0.000 μB/f.u. As for the volume: 22.68 Å³/atom.


Version x
## KZr2Ta (SCAN)

Data for a crystal of KZr2Ta relaxed with PBEsol.

Structure (POSCAR):
```
KZr2Ta
1.0
-0.472 -0.875 -2.819
4.297 -1.727 1.402
-3.872 -6.385 2.631
Zr Ta K
2 1 1
direct
0.235 0.469 0.166
0.765 0.531 0.834
0.500 0.000 0.000
0.000 0.000 0.500
```

Its total magnetization is 0.026 μB/f.u. As for the volume: 27.19 Å³/atom.


Version y
## KZr2Ta (SCAN)

Data for a crystal of KZr2Ta relaxed with PBEsol.

Structure (POSCAR):
```
KZr2Ta
1.0
-1.502 1.431 -2.047
3.278 -1.211 -3.251
-3.084 -7.310 -0.388
Zr K Ta
2 1 1
direct
0.960 0.000 0.971
0.770 0.500 0.174
0.497 0.000 0.512
0.274 0.500 0.843
```

Its total magnetization is 0.000 μB/f.u. As for the volume: 26.96 Å³/atom.


Energies relative to the most stable structure are version w 308; version x 0; version y 66, reported in meV per atom.